Compound: Rb3Li2WO6
Source: Alexandria via LeMat-Bulk
Functional: GGA+U
Structure: relaxed

abc: 6.004 6.004 6.394
angles: 96.44 96.44 122.09
Element x y z (fractional)
Rb  0.000  0.000  0.000
Rb  0.316  0.684  0.000
Rb  0.684  0.316  0.000
Li  0.211  0.789  0.500
Li  0.789  0.211  0.500
W  0.500  0.500  0.500
O  0.153  0.428  0.348
O  0.324  0.324  0.723
O  0.428  0.153  0.348
O  0.572  0.847  0.652
O  0.676  0.676  0.277
O  0.847  0.572  0.652

Output
Total DFT energy (no corrections), eV per cell: -63.346
SG: C2/m (12)
Crystal system: monoclinic
Size of the total moment, μB per formula unit: 1.06
N(E_F), states/eV per atom: 0.587
Mass density, g cm⁻³: 4.81